Record 1
Computed, not measured: an optimized crystal structure of TbThPb2 at the PBE level of DFT.

a b c (Å): 5.5200 5.5200 5.5200
angles (deg): 60.00 60.00 60.00
Closest atoms and distances in Å follow each position.
Positions (direct):
Pb1 0.2500 0.2500 0.2500  4 Th 3.38, 4 Tb 3.38
Tb1 0.5000 0.5000 0.5000  8 Pb 3.38
Pb2 0.7500 0.7500 0.7500  4 Tb 3.38, 4 Th 3.38
Th1 0.0000 0.0000 0.0000  8 Pb 3.38

DFT formation energy (meV/atom): -264

***

Record 2
Computed, not measured: an optimized crystal structure of Rb2ErMnS4 at the PBE level of DFT.

a b c (Å): 8.3959 8.3959 8.2497
angles (deg): 119.43 119.43 93.06
Closest atoms and distances in Å follow each position.
Positions (direct):
S1 0.7970 0.2740 0.0355  2 Er 2.70, 1 Mn 2.92
S2 0.2348 0.2653 0.0668  2 Mn 2.53
S3 0.7652 0.7347 0.9332  2 Mn 2.53
S4 0.2260 0.7030 0.4645  2 Er 2.70, 1 Mn 2.92
Mn1 0.0000 0.0001 0.0000  4 S 2.53
S5 0.2347 0.2652 0.4332  2 Mn 2.53
S6 0.2030 0.7260 0.9645  2 Er 2.70, 1 Mn 2.92
Rb1 0.0000 0.0000 0.5000  6 S 3.20-3.31
S7 0.7739 0.2970 0.5355  2 Er 2.70, 1 Mn 2.92
Rb2 0.5000 0.0000 0.5000  6 S 3.10-3.28
Rb3 0.5000 0.5000 0.0000  6 S 3.20-3.31
Mn2 0.5000 0.5000 0.5000  4 S 2.53
Rb4 0.5000 0.0000 0.0000  6 S 3.10-3.28
S8 0.7653 0.7348 0.5668  2 Mn 2.53
Er1 0.0000 0.5000 0.0000  6 S 2.70-2.91
Er2 0.0000 0.5000 0.5000  6 S 2.70-2.91

Formation energy from raw total energies (kJ/mol of formula units): -894.0

***

Record 3
Computed, not measured: an optimized crystal structure of LaFeB2S at the PBE level of DFT.

a b c (Å): 4.8451 4.6139 4.8451
angles (deg): 90.00 90.00 90.00
Closest atoms and distances in Å follow each position.
Positions (direct):
La1 0.0000 0.0000 0.0000  2 Fe 2.31, 4 B 2.42
B1 0.0000 0.0000 0.5000  2 La 2.42
S1 0.5000 0.5000 0.5000  8 B 3.35, 4 Fe 3.43
Fe1 0.0000 0.5000 0.0000  2 La 2.31
B2 0.5000 0.0000 0.0000  2 La 2.42

Formation energy from raw total energies (kJ/mol of formula units): 1175.3